No. 1
# Ho2GeHRh6 PBE-GGA optimized geometry
# **ρ**: 10718 kg/m³
# **Calculated total energy**: -6.71 eV/atom
data_Ho2GeHRh6
_space_group_name_H-M_alt 'I 4/m m m'
_space_group_IT_number 139
_space_group_name_Hall '-I 4 2'
_cell_length_a 6.075
_cell_length_b 6.075
_cell_length_c 8.571
_cell_angle_alpha 90.00
_cell_angle_beta 90.00
_cell_angle_gamma 90.00
loop_
_atom_site_label
_atom_site_type_symbol
_atom_site_fract_x
_atom_site_fract_y
_atom_site_fract_z
_atom_site_occupancy
Ho1 Ho 0.000 0.500 0.250 1
Ge1 Ge 0.000 0.000 0.000 1
H1 H 0.000 0.000 0.500 1
Rh1 Rh 0.000 0.000 0.273 1
Rh2 Rh 0.228 0.228 0.500 1

---

No. 2
# BePtW PBE-GGA optimized geometry
# **ρ**: 14520 kg/m³
# **E above lowest polymorph**: 0.622 eV/atom
# **Calculated total energy**: -7.29 eV/atom
# **Formation energy**: 0.282 eV per atom
data_BePtW
_space_group_name_H-M_alt 'P 63/m m c'
_space_group_IT_number 194
_space_group_name_Hall '-P 6c 2c'
_cell_length_a 4.3582
_cell_length_b 4.3582
_cell_length_c 5.3941
_cell_angle_alpha 90.00
_cell_angle_beta 90.00
_cell_angle_gamma 120.00
loop_
_atom_site_label
_atom_site_type_symbol
_atom_site_fract_x
_atom_site_fract_y
_atom_site_fract_z
_atom_site_occupancy
Be1 Be 0.0000 0.0000 0.0000 1
Pt1 Pt 0.3333 0.6667 0.2500 1
W1 W 0.3333 0.6667 0.7500 1

---

No. 3
# TcSnI2 PBE-GGA optimized geometry
# **ρ**: 6218 kg/m³
# **E above lowest polymorph**: 0.000 eV/atom
# **Calculated total energy**: -4.09 eV/atom
data_TcSnI2
_space_group_name_H-M_alt 'I -4 2 d'
_space_group_IT_number 122
_space_group_name_Hall 'I -4 2bw'
_cell_length_a 9.743
_cell_length_b 9.743
_cell_length_c 5.295
_cell_angle_alpha 90.00
_cell_angle_beta 90.00
_cell_angle_gamma 90.00
loop_
_atom_site_label
_atom_site_type_symbol
_atom_site_fract_x
_atom_site_fract_y
_atom_site_fract_z
_atom_site_occupancy
Tc1 Tc 0.000 0.000 0.000 1
Sn1 Sn 0.000 0.000 0.500 1
I1 I 0.110 0.750 0.125 1

---

No. 4
# NaRuPb2 PBE-GGA optimized geometry
# **ρ**: 6335 kg/m³
# **Calculated total energy**: -3.96 eV/atom
# **Formation energy**: 0.545 eV per atom
data_NaRuPb2
_space_group_name_H-M_alt 'I -4 2 d'
_space_group_IT_number 122
_space_group_name_Hall 'I -4 2bw'
_cell_length_a 5.878
_cell_length_b 5.878
_cell_length_c 16.339
_cell_angle_alpha 90.00
_cell_angle_beta 90.00
_cell_angle_gamma 90.00
loop_
_atom_site_label
_atom_site_type_symbol
_atom_site_fract_x
_atom_site_fract_y
_atom_site_fract_z
_atom_site_occupancy
Na1 Na 0.000 0.000 0.000 1
Ru1 Ru 0.000 0.000 0.500 1
Pb1 Pb 0.120 0.250 0.625 1

---

No. 5
# KY2Sc PBE-GGA optimized geometry
# **ρ**: 3095 kg/m³
# **E above lowest polymorph**: 0.603 eV/atom
# **Calculated total energy**: -4.25 eV/atom
# **Formation energy**: 0.837 eV per atom
data_KY2Sc
_space_group_name_H-M_alt 'I -4 2 d'
_space_group_IT_number 122
_space_group_name_Hall 'I -4 2bw'
_cell_length_a 4.785
_cell_length_b 4.785
_cell_length_c 24.543
_cell_angle_alpha 90.00
_cell_angle_beta 90.00
_cell_angle_gamma 90.00
loop_
_atom_site_label
_atom_site_type_symbol
_atom_site_fract_x
_atom_site_fract_y
_atom_site_fract_z
_atom_site_occupancy
K1 K 0.000 0.000 0.000 1
Y1 Y 0.236 0.250 0.625 1
Sc1 Sc 0.000 0.000 0.500 1

---

No. 6
# Y5Zr4 PBE-GGA optimized geometry
# **ρ**: 5392 kg/m³
# **E above lowest polymorph**: 0.000 eV/atom
# **Calculated total energy**: -7.29 eV/atom
# **Formation energy**: 0.100 eV per atom
data_Y5Zr4
_space_group_name_H-M_alt 'I 4/m m m'
_space_group_IT_number 139
_space_group_name_Hall '-I 4 2'
_cell_length_a 10.266
_cell_length_b 10.266
_cell_length_c 4.731
_cell_angle_alpha 90.00
_cell_angle_beta 90.00
_cell_angle_gamma 90.00
loop_
_atom_site_label
_atom_site_type_symbol
_atom_site_fract_x
_atom_site_fract_y
_atom_site_fract_z
_atom_site_occupancy
Y1 Y 0.000 0.000 0.000 1
Y2 Y 0.171 0.171 0.500 1
Zr1 Zr 0.000 0.350 0.000 1

---

No. 7
# Dy7TmCd2 PBE-GGA optimized geometry
# **ρ**: 6948 kg/m³
# **Calculated total energy**: -3.44 eV/atom
# **Formation energy**: 0.413 eV per atom
data_Dy7TmCd2
_space_group_name_H-M_alt 'C m m m'
_space_group_IT_number 65
_space_group_name_Hall '-C 2 2'
_cell_length_a 8.915
_cell_length_b 15.801
_cell_length_c 5.196
_cell_angle_alpha 90.00
_cell_angle_beta 90.00
_cell_angle_gamma 90.00
loop_
_atom_site_label
_atom_site_type_symbol
_atom_site_fract_x
_atom_site_fract_y
_atom_site_fract_z
_atom_site_occupancy
Dy1 Dy 0.000 0.000 0.000 1
Dy2 Dy 0.000 0.279 0.500 1
Dy3 Dy 0.182 0.384 0.000 1
Tm1 Tm 0.000 0.500 0.500 1
Cd1 Cd 0.000 0.196 0.000 1

---

No. 8
# K3Sb PBE-GGA optimized geometry
# **ρ**: 2362 kg/m³
# **E above lowest polymorph**: 0.102 eV/atom
# **Calculated total energy**: -2.17 eV/atom
data_K3Sb
_space_group_name_H-M_alt 'P 63/m m c'
_space_group_IT_number 194
_space_group_name_Hall '-P 6c 2c'
_cell_length_a 7.9245
_cell_length_b 7.9245
_cell_length_c 6.1803
_cell_angle_alpha 90.00
_cell_angle_beta 90.00
_cell_angle_gamma 120.00
loop_
_atom_site_label
_atom_site_type_symbol
_atom_site_fract_x
_atom_site_fract_y
_atom_site_fract_z
_atom_site_occupancy
K1 K 0.1860 0.3720 0.2500 1
Sb1 Sb 0.3333 0.6667 0.7500 1